Entry from Alexandria: a relaxed structure of VSi2S8 (PBE).

Cell and atoms, written as CIF:
```
data_VSi2S8
_cell_length_a 5.2696
_cell_length_b 7.3965
_cell_length_c 7.3965
_cell_angle_alpha 72.49
_cell_angle_beta 82.54
_cell_angle_gamma 82.54
_symmetry_space_group_name_H-M 'P 1'
_symmetry_Int_Tables_number 1
loop_
_symmetry_equiv_pos_as_xyz
'x,y,z'
loop_
_atom_site_label
_atom_site_fract_x
_atom_site_fract_y
_atom_site_fract_z
V1 0.0000 0.0000 0.0000
Si1 0.5856 0.8235 0.8235
Si2 0.4144 0.1765 0.1765
S1 0.3240 0.2474 0.8718
S2 0.6760 0.1282 0.7526
S3 0.1845 0.8154 0.8154
S4 0.8155 0.1846 0.1846
S5 0.3240 0.8718 0.2474
S6 0.6760 0.7526 0.1282
S7 0.7861 0.6646 0.6646
S8 0.2139 0.3354 0.3354
```

volume	271.34	Å³/f.u.
SG	No. 12
calculated total energy	-56.389	eV for the cell shown
M_tot	0.99	μB/cell
energy relative to the elements, uncorrected	-0.310	eV per atom